[1]
DFT (GGA-PBE) results for crystalline LaCr2Sb at its relaxed geometry.

- final energy (eV per cell) = -27.869

a = 3.308 Å, b = 4.232 Å, c = 6.741 Å
α = 90.00°, β = 99.24°, γ = 90.00°
Space group Pm (No. 6)
Inequivalent atoms, fractional coordinates:
1 La 0.000 0.000 0.000 x1
2 Cr 0.212 0.500 0.625 x1
3 Cr 0.652 0.000 0.549 x1
4 Sb 0.594 0.500 0.276 x1

---

[2]
DFT (GGA-PBE) results for crystalline LaCrSb at its relaxed geometry.

- final energy (eV per cell) = -37.874

a = 3.717 Å, b = 3.717 Å, c = 11.172 Å
α = 90.00°, β = 90.00°, γ = 90.00°
Space group I4mm (No. 107)
Inequivalent atoms, fractional coordinates:
1 La 0.000 0.000 0.000 x2
2 Cr 0.000 0.000 0.701 x2
3 Sb 0.000 0.000 0.297 x2

---

[3]
DFT (GGA-PBE) results for crystalline La2CrSb at its relaxed geometry.

- final energy (eV per cell) = -23.762

a = 3.663 Å, b = 3.663 Å, c = 8.558 Å
α = 90.00°, β = 90.00°, γ = 90.00°
Space group P4mm (No. 99)
Inequivalent atoms, fractional coordinates:
1 La 0.000 0.000 0.000 x1
2 La 0.500 0.500 0.361 x1
3 Cr 0.500 0.500 0.753 x1
4 Sb 0.000 0.000 0.618 x1

---

> The highest final energy belongs to which entry?

La2CrSb

---

> Look up the final energy of the first one.

-27.869 eV per cell